Entry 1:
Material: RbVCdBr6
Method: DFT, PBE
State: relaxed

Cell lengths 7.0416, 7.0417, 7.6125 Å; angles 90.01, 89.99, 59.99 degrees
Element x y z (fractional)
1 Rb 0.0000 0.0000 0.0000
2 V 0.6666 0.6667 0.5000
3 Cd 0.3334 0.3334 0.5000
4 Br 0.9734 0.3862 0.3018
5 Br 0.3862 0.9734 0.6982
6 Br 0.6403 0.3864 0.6982
7 Br 0.9732 0.6405 0.6982
8 Br 0.3864 0.6404 0.3017
9 Br 0.6404 0.9732 0.3017

Properties
Formation energy (no corrections) ... -1.049 eV/atom
Total moment ... 2.0 μB per cell
Theoretical density ... 3.7 g/cm3
Electronic total energy ... -3.3867 eV per atom
Symmetry ... No. 149

---

Entry 2:
Material: Sm3SnRu
Method: DFT, PBE
State: relaxed

Cell lengths 5.1720, 5.3924, 10.2752 Å; angles 90.00, 88.92, 90.00 degrees
Element x y z (fractional)
1 Sm 0.5067 0.2500 0.8939
2 Sm 0.4933 0.7500 0.1061
3 Sm 0.9851 0.7500 0.3626
4 Sm 0.0149 0.2500 0.6374
5 Sm 0.4919 0.2500 0.3246
6 Sm 0.5081 0.7500 0.6754
7 Sn 0.9970 0.2500 0.1287
8 Sn 0.0030 0.7500 0.8713
9 Ru 0.4820 0.7500 0.3926
10 Ru 0.5180 0.2500 0.6074

Properties
Total moment ... 0.0 μB per cell
Formation energy from the elements ... -0.29 eV per atom
Theoretical density ... 7.8 g/cm3
Electronic total energy ... -5.7760 eV per atom
ΔE to the lowest computed polymorph ... 152 meV per atom
Symmetry ... No. 11

---

What did the second record say?
Material: Sm3SnRu
Method: DFT, PBE
State: relaxed

Cell lengths 5.1720, 5.3924, 10.2752 Å; angles 90.00, 88.92, 90.00 degrees
Element x y z (fractional)
1 Sm 0.5067 0.2500 0.8939
2 Sm 0.4933 0.7500 0.1061
3 Sm 0.9851 0.7500 0.3626
4 Sm 0.0149 0.2500 0.6374
5 Sm 0.4919 0.2500 0.3246
6 Sm 0.5081 0.7500 0.6754
7 Sn 0.9970 0.2500 0.1287
8 Sn 0.0030 0.7500 0.8713
9 Ru 0.4820 0.7500 0.3926
10 Ru 0.5180 0.2500 0.6074

Properties
Total moment ... 0.0 μB per cell
Formation energy from the elements ... -0.29 eV per atom
Theoretical density ... 7.8 g/cm3
Electronic total energy ... -5.7760 eV per atom
ΔE to the lowest computed polymorph ... 152 meV per atom
Symmetry ... No. 11